# 1
Density functional theory data (PBE-GGA) for Nd3Ho2Ag2 after structural relaxation.

## Properties
Uncorrected energy   -4.12 eV per atom
DFT formation energy   0.042 eV/atom

Unit cell a=4.8927 b=23.3223 c=3.4882 alpha=90.00 beta=90.00 gamma=90.00
Space group Cmmm (No. 65)
Symmetry-distinct sites (fractional):
Nd 0.0000 0.0000 0.0000 x2
Nd 0.0000 0.1400 0.0000 x4
Ho 0.0000 0.2918 0.5000 x4
Ag 0.0000 0.4291 0.5000 x4

# 2
Density functional theory data (PBE-GGA) for ZrMnNbCo after structural relaxation.

## Properties
Uncorrected energy   -8.84 eV per atom
DFT formation energy   -0.114 eV/atom

Unit cell a=6.2584 b=6.2584 c=6.2584 alpha=90.00 beta=90.00 gamma=90.00
Space group F-43m (No. 216)
Symmetry-distinct sites (fractional):
Zr 0.0000 0.0000 0.0000 x4
Mn 0.2500 0.2500 0.2500 x4
Nb 0.0000 0.0000 0.5000 x4
Co 0.2500 0.2500 0.7500 x4

# 3
Density functional theory data (PBE-GGA) for PmPdC2O6 after structural relaxation.

## Properties
Uncorrected energy   -7.41 eV per atom

Unit cell a=5.1770 b=5.1770 c=16.9195 alpha=90.00 beta=90.00 gamma=120.00
Space group R-3 (No. 148, hexagonal axes)
Symmetry-distinct sites (fractional):
Pm 0.0000 0.0000 0.0000 x3
Pd 0.0000 0.0000 0.5000 x3
C 0.0000 0.0000 0.2524 x6
O 0.0101 0.2559 0.7472 x18